[1]
DFT (GGA-PBE) results for a geometry-optimized SrBeNi2H8 structure.

```
12
Lattice="4.2482 0.0000 0.0000 -2.1241 3.6790 0.0000 0.0000 0.0000 6.1125" Properties=species:S:1:pos:R:3 pbc="T T T"
Sr 0.0000 0.0000 0.0000
Be 0.0000 0.0000 3.0563
Ni 0.0000 2.4527 3.6383
Ni 2.1241 1.2263 2.4742
H -1.3164 2.5991 2.1952
H 0.5314 1.2394 2.1952
H 0.0000 2.4527 5.2725
H 1.3391 0.1595 3.9174
H 0.7850 3.5195 2.1952
H 2.1241 1.2263 0.8400
H 1.5926 2.4396 3.9174
H 3.4405 1.0799 3.9174
```

Uncorrected energy   -3.73 eV per atom

[2]
DFT (GGA-PBE) results for a geometry-optimized ZrNp2Tl3Se6 structure.

```
12
Lattice="3.5487 -6.1343 0.0000 3.5487 6.1343 0.0000 -2.3572 0.0000 7.8690" Properties=species:S:1:pos:R:3 pbc="T T T"
Zr 0.0000 0.0000 0.0000
Np 3.5487 2.0353 0.0000
Np 3.5487 -2.0353 0.0000
Tl 2.3701 4.0373 3.9345
Tl 2.3701 0.0000 3.9345
Tl 2.3701 -4.0373 3.9345
Se 1.1354 1.9629 1.5892
Se -0.0925 0.0000 6.2478
Se 1.1354 -1.9629 1.5892
Se 3.6048 1.9629 6.2798
Se 4.8327 0.0000 1.6211
Se 3.6048 -1.9629 6.2798
```

ΔE_f (raw)   -21.35 kcal/mol of atoms

[3]
DFT (GGA-PBE) results for a geometry-optimized Ac5PdRu2 structure.

```
16
Lattice="2.9543 -6.8524 0.0000 2.9543 6.8524 0.0000 0.0000 0.0000 14.6512" Properties=species:S:1:pos:R:3 pbc="T T T"
Ac 2.9543 6.1948 9.0474
Ac 2.9543 6.1948 12.9294
Ac 2.9543 3.6200 3.6628
Ac 2.9543 2.2772 8.1835
Ac 2.9543 2.2772 13.7934
Ac 2.9543 -2.2772 0.8578
Ac 2.9543 -2.2772 6.4678
Ac 2.9543 -3.6200 10.9884
Ac 2.9543 -6.1948 1.7218
Ac 2.9543 -6.1948 5.6038
Pd 2.9543 3.8274 10.9884
Pd 2.9543 -3.8274 3.6628
Ru 2.9543 4.8766 0.8926
Ru 2.9543 4.8766 6.4330
Ru 2.9543 -4.8766 8.2182
Ru 2.9543 -4.8766 13.7586
```

Uncorrected energy   -5.79 eV per atom

[4]
DFT (GGA-PBE) results for a geometry-optimized SmTmIr4 structure.

```
6
Lattice="0.0000 3.7978 3.7978 3.7978 0.0000 3.7978 3.7978 3.7978 0.0000" Properties=species:S:1:pos:R:3 pbc="T T T"
Sm 0.0000 0.0000 0.0000
Tm 5.6967 5.6967 5.6967
Ir 2.8495 2.8495 2.8495
Ir 4.7460 4.7460 2.8495
Ir 4.7460 2.8495 4.7460
Ir 2.8495 4.7460 4.7460
```

Uncorrected energy   -8.22 eV per atom

[5]
DFT (GGA-PBE) results for a geometry-optimized Mn2VHOs structure.

```
5
Lattice="3.6822 0.0000 0.0000 0.0000 3.6822 0.0000 0.0000 0.0000 3.8372" Properties=species:S:1:pos:R:3 pbc="T T T"
Mn 0.0000 1.8411 0.0000
Mn 1.8411 0.0000 0.0000
V 0.0000 0.0000 1.9186
H 0.0000 0.0000 0.0000
Os 1.8411 1.8411 1.9186
```

Relative energy among the computed polymorphs   0 meV per atom

[6]
DFT (GGA-PBE) results for a geometry-optimized Ti2ZnGa structure.

```
8
Lattice="-3.5804 3.5804 2.6294 3.5804 -3.5804 2.6294 3.5804 3.5804 -2.6294" Properties=species:S:1:pos:R:3 pbc="T T T"
Ti 5.3706 1.7837 -0.6574
Ti 1.7837 1.7902 0.6574
Ti -1.7902 1.7967 1.9721
Ti 1.7967 1.7902 3.2868
Zn 0.0000 0.0000 0.0000
Zn 0.0000 3.5804 1.3147
Ga 3.5804 0.0000 1.3147
Ga 0.0000 0.0000 2.6294
```

Uncorrected energy   -4.97 eV per atom

[7]
DFT (GGA-PBE) results for a geometry-optimized SmSnPtAu structure.

```
4
Lattice="0.0000 3.5080 3.5080 3.5080 0.0000 3.5080 3.5080 3.5080 0.0000" Properties=species:S:1:pos:R:3 pbc="T T T"
Sm 0.0000 0.0000 0.0000
Sn 3.5080 3.5080 3.5080
Pt 1.7540 1.7540 1.7540
Au 5.2621 5.2621 5.2621
```

Uncorrected energy   -5.27 eV per atom

[8]
DFT (GGA-PBE) results for a geometry-optimized La2WC4 structure.

```
7
Lattice="-2.0633 2.0633 6.5588 2.0633 -2.0633 6.5588 2.0633 2.0633 -6.5588" Properties=species:S:1:pos:R:3 pbc="T T T"
La 0.0000 0.0000 1.8500
La 0.0000 0.0000 11.2675
W 0.0000 0.0000 6.5588
C 2.0633 0.0000 0.0000
C 0.0000 0.0000 4.4556
C 0.0000 2.0633 0.0000
C 0.0000 0.0000 8.6620
```

Uncorrected energy   -8.14 eV per atom

[9]
DFT (GGA-PBE) results for a geometry-optimized Rb2Zn3GaSn4 structure.

```
10
Lattice="4.7877 0.0000 0.0000 0.0000 4.7877 0.0000 0.0000 0.0000 11.8492" Properties=species:S:1:pos:R:3 pbc="T T T"
Rb 0.0000 2.3939 2.9013
Rb 2.3939 0.0000 8.9478
Zn 0.0000 0.0000 0.0000
Zn 0.0000 2.3939 7.5468
Zn 2.3939 0.0000 4.3024
Ga 2.3939 2.3939 0.0000
Sn 0.0000 0.0000 5.9246
Sn 0.0000 2.3939 10.3131
Sn 2.3939 0.0000 1.5361
Sn 2.3939 2.3939 5.9246
```

Uncorrected energy   -2.60 eV per atom

[10]
DFT (GGA-PBE) results for a geometry-optimized InPd3Pt structure.

```
5
Lattice="4.9218 0.0000 0.0000 0.0000 4.9218 0.0000 0.0000 0.0000 4.9218" Properties=species:S:1:pos:R:3 pbc="T T T"
In 0.0000 0.0000 0.0000
Pd 0.0000 2.4609 2.4609
Pd 2.4609 0.0000 2.4609
Pd 2.4609 2.4609 0.0000
Pt 2.4609 2.4609 2.4609
```

Relative energy among the computed polymorphs   1068 meV per atom

[11]
DFT (GGA-PBE) results for a geometry-optimized PmNd4N4 structure.

```
9
Lattice="-4.0932 4.0932 2.5862 4.0932 -4.0932 2.5862 4.0932 4.0932 -2.5862" Properties=species:S:1:pos:R:3 pbc="T T T"
Pm 0.0000 0.0000 0.0000
Nd 4.9959 1.5283 0.0000
Nd 1.5283 3.1904 0.0000
Nd 2.5648 0.9027 2.5862
Nd -0.9027 2.5648 2.5862
N 2.4203 0.7819 0.0000
N 3.3113 -1.6728 2.5862
N 0.7819 5.7660 0.0000
N 1.6728 3.3113 2.5862
```

Relative energy among the computed polymorphs   0 meV per atom
ΔE_f (raw)   -28.18 kcal/mol of atoms

[12]
DFT (GGA-PBE) results for a geometry-optimized SrZn4CuAg2 structure.

```
8
Lattice="2.1975 1.2687 9.3345 -2.1975 1.2687 9.3345 0.0000 -2.5375 9.3345" Properties=species:S:1:pos:R:3 pbc="T T T"
Sr 0.0000 0.0000 0.0000
Zn 0.0000 0.0000 3.8293
Zn 0.0000 0.0000 11.4332
Zn 0.0000 0.0000 16.5702
Zn 0.0000 0.0000 24.1742
Cu 0.0000 0.0000 14.0017
Ag 0.0000 0.0000 6.6297
Ag 0.0000 0.0000 21.3738
```

Uncorrected energy   -2.16 eV per atom

[13]
DFT (GGA-PBE) results for a geometry-optimized HfTi2AlB structure.

```
5
Lattice="4.3039 0.0000 0.0000 0.0000 4.3039 0.0000 0.0000 0.0000 4.5102" Properties=species:S:1:pos:R:3 pbc="T T T"
Hf 0.0000 0.0000 0.0000
Ti 0.0000 2.1520 2.2551
Ti 2.1520 0.0000 2.2551
Al 2.1520 2.1520 0.0000
B 0.0000 0.0000 2.2551
```

Uncorrected energy   -7.60 eV per atom